No. 1
# CaNbN2O (GGA-PBE, relaxed)
data_CaNbN2O
_chemical_formula_sum 'Ca1 Nb1 N2 O1'
_symmetry_space_group_name_H-M 'P 4/m m m'
_symmetry_Int_Tables_number 123
_symmetry_space_group_name_Hall '-P 4 2'
_cell_length_a 4.149
_cell_length_b 4.149
_cell_length_c 4.058
_cell_angle_alpha 90.00
_cell_angle_beta 90.00
_cell_angle_gamma 90.00
loop_
_atom_site_label
_atom_site_fract_x
_atom_site_fract_y
_atom_site_fract_z
Ca1 0.000 0.000 0.000
Nb1 0.500 0.500 0.500
N1 0.000 0.500 0.000
O1 0.000 0.000 0.500
# Energy relative to the elements, uncorrected ... 1.046 eV per atom
# DFT total energy ... -5.69 eV/atom
# Magnetic moment ... 0.34 μB per formula unit

No. 2
# CaNbN2O (GGA-PBE, relaxed)
data_CaNbN2O
_chemical_formula_sum 'Ca1 Nb1 N2 O1'
_symmetry_space_group_name_H-M 'P 4/m m m'
_symmetry_Int_Tables_number 123
_symmetry_space_group_name_Hall '-P 4 2'
_cell_length_a 4.074
_cell_length_b 4.074
_cell_length_c 4.070
_cell_angle_alpha 90.00
_cell_angle_beta 90.00
_cell_angle_gamma 90.00
loop_
_atom_site_label
_atom_site_fract_x
_atom_site_fract_y
_atom_site_fract_z
Ca1 0.000 0.000 0.000
Nb1 0.500 0.500 0.500
N1 0.000 0.500 0.500
O1 0.500 0.500 0.000
# Energy relative to the elements, uncorrected ... -1.206 eV per atom
# DFT total energy ... -7.94 eV/atom
# Magnetic moment ... 0.00 μB per formula unit

No. 3
# Ca3Pa2NbN6 (GGA-PBE, relaxed)
data_Ca3Pa2NbN6
_chemical_formula_sum 'Ca6 Pa4 Nb2 N12'
_symmetry_space_group_name_H-M 'C 1 2/m 1'
_symmetry_Int_Tables_number 12
_cell_length_a 5.954
_cell_length_b 10.312
_cell_length_c 5.989
_cell_angle_alpha 90.00
_cell_angle_beta 109.27
_cell_angle_gamma 90.00
loop_
_symmetry_equiv_pos_as_xyz
'x,y,z'
'-x,-y,-z'
'-x,y,-z'
'x,-y,z'
'x+1/2,y+1/2,z'
'-x+1/2,-y+1/2,-z'
'-x+1/2,y+1/2,-z'
'x+1/2,-y+1/2,z'
loop_
_atom_site_label
_atom_site_fract_x
_atom_site_fract_y
_atom_site_fract_z
Ca1 0.000 0.000 0.000
Ca2 0.000 0.339 0.000
Pa1 0.000 0.167 0.500
Nb1 0.000 0.500 0.500
N1 0.235 0.336 0.714
N2 0.243 0.000 0.716
# Energy relative to the elements, uncorrected ... -1.358 eV per atom
# DFT total energy ... -8.44 eV/atom
# Magnetic moment ... 0.00 μB per formula unit